Compound: Mn3O2F4
Source: the Alexandria database
Functional: PBEsol
Structure: optimized geometry

Geometry as POSCAR:
```
Mn3O2F4
1.0
3.290 -3.274 0.000
3.290 3.274 0.000
-0.128 0.000 9.473
Mn O F
6 4 8
direct
0.000 0.000 0.000
0.032 0.034 0.675
0.501 0.499 0.500
0.532 0.458 0.825
0.542 0.468 0.175
0.966 0.968 0.325
0.336 0.310 0.665
0.690 0.664 0.335
0.813 0.162 0.165
0.838 0.187 0.835
0.192 0.808 0.500
0.223 0.762 0.156
0.238 0.777 0.844
0.281 0.264 0.337
0.339 0.280 0.013
0.720 0.661 0.987
0.736 0.719 0.663
0.805 0.195 0.500
```

Values from the calculation:
Space-group type: C2, No. 5
Crystal system: monoclinic
Magnetization (Bohr magnetons per cell): 26.00
Calculated total energy (eV per atom): -7.3048
Energy relative to the lowest polymorph listed for this composition (meV/atom): 2
Formation energy from raw total energies (eV per atom): -2.028